[1]
Below is PmZrSnBi after structural relaxation, with properties calculated at the PBE level.

The structure in POSCAR format:
```
PmZrSnBi
1.0
5.3312 0.0000 0.0000
2.6656 4.6170 0.0000
2.6656 1.5390 4.3529
Pm Sn Bi Zr
1 1 1 1
direct
0.7500 0.7500 0.7500
0.5000 0.5000 0.5000
0.0000 0.0000 0.0000
0.2500 0.2500 0.2500
```



[2]
Below is SrPm4Bi5 after structural relaxation, with properties calculated at the PBE level.

The structure in POSCAR format:
```
SrPm4Bi5
1.0
-1.8315 -4.1865 0.4973
3.3957 -0.8279 5.5360
-9.5912 7.0842 3.0712
Bi Sr Pm
5 1 4
direct
0.8012 0.3012 0.6023
0.0000 0.5000 0.0000
0.3934 0.8934 0.7869
0.1988 0.6988 0.3977
0.6066 0.1066 0.2131
0.0000 0.0000 0.0000
0.5992 0.5992 0.1985
0.4008 0.4008 0.8015
0.7981 0.7981 0.5963
0.2019 0.2019 0.4037
```



[3]
Below is SrPm2Bi after structural relaxation, with properties calculated at the PBE level.

The structure in POSCAR format:
```
SrPm2Bi
1.0
-2.2961 2.3416 4.0943
-2.8769 -4.0676 0.7130
3.4930 -1.9333 3.0646
Sr Bi Pm
1 1 2
direct
0.5000 0.0000 0.0000
0.5000 0.5000 0.5000
0.0000 0.0000 0.5000
0.0000 0.5000 0.0000
```



| no. | DFT formation energy (meV/atom) | calculated total energy (Ry per atom) | theoretical density (g/cm3) |
| --- | --- | --- | --- |
| 1 | -343.4 | -0.41446 | 8.7 |
| 2 | -882.5 | -0.35951 | 8.1 |
| 3 | -295.9 | -0.29855 | 7.3 |